The following is a PBE-GGA calculation of a relaxed structure of La2TcOs, from Alexandria via LeMat-Bulk.

The structure belongs to space group I-42d (No. 122); the cell edges are 7.690, 7.690 and 6.118 Å and the angles 90.00°, 90.00° and 90.00°. The inequivalent atoms are La at (0.249, 0.750, 0.125), Tc at (0.000, 0.000, 0.500) and Os at (0.000, 0.000, 0.000).

As for the crystal system: tetragonal. The value obtained for the energy of formation is 59.9 kJ per mole of atoms. The value obtained for the energy above the lowest structure with this stoichiometry is 423 meV/atom. As for the total energy: -7.24 eV/atom.

---

The following is a PBE-GGA calculation of a relaxed structure of LaTc2Os2, from Alexandria via LeMat-Bulk.

The structure belongs to space group I4/mmm (No. 139); the cell edges are 4.381, 4.381 and 10.166 Å and the angles 90.00°, 90.00° and 90.00°. The inequivalent atoms are La at (0.000, 0.000, 0.000), Tc at (0.000, 0.500, 0.250) and Os at (0.000, 0.000, 0.374).

As for the crystal system: tetragonal. The value obtained for the energy of formation is 2.8 kJ per mole of atoms. The value obtained for the energy above the lowest structure with this stoichiometry is 0 meV/atom. As for the total energy: -9.59 eV/atom.

---

The following is a PBE-GGA calculation of a relaxed structure of LaTcOs, from Alexandria via LeMat-Bulk.

The structure belongs to space group F-43m (No. 216); the cell edges are 6.313, 6.313 and 6.313 Å and the angles 90.00°, 90.00° and 90.00°. The inequivalent atoms are La at (0.000, 0.000, 0.000), Tc at (0.250, 0.250, 0.750) and Os at (0.250, 0.250, 0.250).

As for the crystal system: cubic. The value obtained for the energy of formation is 146.2 kJ per mole of atoms. The value obtained for the energy above the lowest structure with this stoichiometry is 1462 meV/atom. As for the total energy: -7.33 eV/atom.

---

The following is a PBE-GGA calculation of a relaxed structure of La2TcOs, from Alexandria via LeMat-Bulk.

The structure belongs to space group C2/m (No. 12); the cell edges are 6.340, 9.238 and 3.188 Å and the angles 90.00°, 113.89° and 90.00°. The inequivalent atoms are La at (0.250, 0.250, 0.000), Tc at (0.000, 0.000, 0.500) and Os at (0.000, 0.500, 0.500).

As for the crystal system: monoclinic. The value obtained for the energy of formation is 44.1 kJ per mole of atoms. The value obtained for the energy above the lowest structure with this stoichiometry is 259 meV/atom. As for the total energy: -7.41 eV/atom.

---

The following is a PBE-GGA calculation of a relaxed structure of LaTc2Os, from Alexandria via LeMat-Bulk.

The structure belongs to space group P4/mmm (No. 123); the cell edges are 4.765, 4.765 and 3.111 Å and the angles 90.00°, 90.00° and 90.00°. The inequivalent atoms are La at (0.000, 0.000, 0.000), Tc at (0.000, 0.500, 0.500) and Os at (0.500, 0.500, 0.000).

As for the crystal system: tetragonal. The value obtained for the energy of formation is 61.4 kJ per mole of atoms. The value obtained for the energy above the lowest structure with this stoichiometry is 317 meV/atom. As for the total energy: -8.59 eV/atom.

---

The following is a PBE-GGA calculation of a relaxed structure of LaTc2Os, from Alexandria via LeMat-Bulk.

The structure belongs to space group Imm2 (No. 44); the cell edges are 2.990, 4.934 and 9.817 Å and the angles 90.00°, 90.00° and 90.00°. The inequivalent atoms are La at (0.000, 0.000, 0.000), Tc at (0.000, 0.000, 0.502), Tc at (0.000, 0.500, 0.221) and Os at (0.000, 0.500, 0.780).

As for the crystal system: orthorhombic. The value obtained for the energy of formation is 49.0 kJ per mole of atoms. The value obtained for the energy above the lowest structure with this stoichiometry is 188 meV/atom. As for the total energy: -8.71 eV/atom.

---

The following is a PBE-GGA calculation of a relaxed structure of La2TcOs, from Alexandria via LeMat-Bulk.

The structure belongs to space group Immm (No. 71); the cell edges are 3.470, 5.321 and 9.246 Å and the angles 90.00°, 90.00° and 90.00°. The inequivalent atoms are La at (0.000, 0.000, 0.249), Tc at (0.000, 0.500, 0.500) and Os at (0.000, 0.500, 0.000).

As for the crystal system: orthorhombic. The value obtained for the energy of formation is 44.6 kJ per mole of atoms. The value obtained for the energy above the lowest structure with this stoichiometry is 264 meV/atom. As for the total energy: -7.40 eV/atom.

---

The following is a PBE-GGA calculation of a relaxed structure of LaTcOs3, from Alexandria via LeMat-Bulk.

The structure belongs to space group Pm-3m (No. 221); the cell edges are 4.729, 4.729 and 4.729 Å and the angles 90.00°, 90.00° and 90.00°. The inequivalent atoms are La at (0.000, 0.000, 0.000), Tc at (0.500, 0.500, 0.500) and Os at (0.000, 0.000, 0.500).

As for the crystal system: cubic. The value obtained for the energy of formation is 308.2 kJ per mole of atoms. The value obtained for the energy above the lowest structure with this stoichiometry is 2073 meV/atom. As for the total energy: -6.60 eV/atom.

---

The following is a PBE-GGA calculation of a relaxed structure of La2TcOs, from Alexandria via LeMat-Bulk.

The structure belongs to space group P4mm (No. 99); the cell edges are 3.151, 3.151 and 9.471 Å and the angles 90.00°, 90.00° and 90.00°. The inequivalent atoms are La at (0.000, 0.000, 0.000), La at (0.500, 0.500, 0.379), Tc at (0.500, 0.500, 0.761) and Os at (0.000, 0.000, 0.618).

As for the crystal system: tetragonal. The value obtained for the energy of formation is 19.1 kJ per mole of atoms. The value obtained for the energy above the lowest structure with this stoichiometry is 0 meV/atom. As for the total energy: -7.66 eV/atom.

---

The following is a PBE-GGA calculation of a relaxed structure of LaTc2Os, from Alexandria via LeMat-Bulk.

The structure belongs to space group Cmm2 (No. 35); the cell edges are 3.076, 4.838 and 9.356 Å and the angles 90.00°, 90.00° and 90.00°. The inequivalent atoms are La at (0.000, 0.000, 0.000), Tc at (0.000, 0.000, 0.502), Tc at (0.000, 0.500, 0.721) and Os at (0.000, 0.500, 0.274).

As for the crystal system: orthorhombic. The value obtained for the energy of formation is 57.9 kJ per mole of atoms. The value obtained for the energy above the lowest structure with this stoichiometry is 281 meV/atom. As for the total energy: -8.62 eV/atom.

---

The following is a PBE-GGA calculation of a relaxed structure of La2TcOs, from Alexandria via LeMat-Bulk.

The structure belongs to space group P2/m (No. 10); the cell edges are 3.189, 4.613 and 5.850 Å and the angles 90.00°, 96.09° and 90.00°. The inequivalent atoms are La at (0.242, 0.000, 0.250), Tc at (0.000, 0.500, 0.500) and Os at (0.500, 0.500, 0.000).

As for the crystal system: monoclinic. The value obtained for the energy of formation is 44.5 kJ per mole of atoms. The value obtained for the energy above the lowest structure with this stoichiometry is 264 meV/atom. As for the total energy: -7.40 eV/atom.

---

The following is a PBE-GGA calculation of a relaxed structure of LaTc2Os, from Alexandria via LeMat-Bulk.

The structure belongs to space group C2/m (No. 12); the cell edges are 5.670, 9.181 and 2.860 Å and the angles 90.00°, 109.35° and 90.00°. The inequivalent atoms are La at (0.000, 0.000, 0.000), Tc at (0.250, 0.250, 0.500) and Os at (0.000, 0.500, 0.000).

As for the crystal system: monoclinic. The value obtained for the energy of formation is 58.6 kJ per mole of atoms. The value obtained for the energy above the lowest structure with this stoichiometry is 288 meV/atom. As for the total energy: -8.61 eV/atom.

---

The following is a PBE-GGA calculation of a relaxed structure of LaTc2Os2, from Alexandria via LeMat-Bulk.

The structure belongs to space group P4/mbm (No. 127); the cell edges are 7.880, 7.880 and 2.791 Å and the angles 90.00°, 90.00° and 90.00°. The inequivalent atoms are La at (0.000, 0.000, 0.000), Tc at (0.169, 0.331, 0.500) and Os at (0.119, 0.619, 0.000).

As for the crystal system: tetragonal. The value obtained for the energy of formation is 18.3 kJ per mole of atoms. The value obtained for the energy above the lowest structure with this stoichiometry is 161 meV/atom. As for the total energy: -9.43 eV/atom.

---

The following is a PBE-GGA calculation of a relaxed structure of LaTcOs, from Alexandria via LeMat-Bulk.

The structure belongs to space group Cmcm (No. 63); the cell edges are 4.280, 13.764 and 4.567 Å and the angles 90.00°, 90.00° and 90.00°. The inequivalent atoms are La at (0.000, 0.078, 0.250), Tc at (0.000, 0.252, 0.750) and Os at (0.000, 0.335, 0.250).

As for the crystal system: orthorhombic. The value obtained for the energy of formation is 20.8 kJ per mole of atoms. The value obtained for the energy above the lowest structure with this stoichiometry is 163 meV/atom. As for the total energy: -8.63 eV/atom.

---

The following is a PBE-GGA calculation of a relaxed structure of La2TcOs, from Alexandria via LeMat-Bulk.

The structure belongs to space group Cmmm (No. 65); the cell edges are 3.493, 5.345 and 9.190 Å and the angles 90.00°, 90.00° and 90.00°. The inequivalent atoms are La at (0.000, 0.000, 0.249), Tc at (0.000, 0.500, 0.000) and Os at (0.000, 0.500, 0.500).

As for the crystal system: orthorhombic. The value obtained for the energy of formation is 46.7 kJ per mole of atoms. The value obtained for the energy above the lowest structure with this stoichiometry is 286 meV/atom. As for the total energy: -7.38 eV/atom.

---

The following is a PBE-GGA calculation of a relaxed structure of La2TcOs, from Alexandria via LeMat-Bulk.

The structure belongs to space group F-43m (No. 216); the cell edges are 6.960, 6.960 and 6.960 Å and the angles 90.00°, 90.00° and 90.00°. The inequivalent atoms are La at (0.000, 0.000, 0.000), La at (0.250, 0.250, 0.250), Tc at (0.250, 0.250, 0.750) and Os at (0.000, 0.000, 0.500).

As for the crystal system: cubic. The value obtained for the energy of formation is 39.9 kJ per mole of atoms. The value obtained for the energy above the lowest structure with this stoichiometry is 216 meV/atom. As for the total energy: -7.45 eV/atom.

---

The following is a PBE-GGA calculation of a relaxed structure of La2TcOs, from Alexandria via LeMat-Bulk.

The structure belongs to space group Pmmm (No. 47); the cell edges are 3.459, 4.634 and 5.325 Å and the angles 90.00°, 90.00° and 90.00°. The inequivalent atoms are La at (0.000, 0.000, 0.000), La at (0.500, 0.000, 0.500), Tc at (0.000, 0.500, 0.500) and Os at (0.500, 0.500, 0.000).

As for the crystal system: orthorhombic. The value obtained for the energy of formation is 44.5 kJ per mole of atoms. The value obtained for the energy above the lowest structure with this stoichiometry is 263 meV/atom. As for the total energy: -7.40 eV/atom.

---

The following is a PBE-GGA calculation of a relaxed structure of La2TcOs2, from Alexandria via LeMat-Bulk.

The structure belongs to space group I4/mmm (No. 139); the cell edges are 5.819, 5.819 and 7.329 Å and the angles 90.00°, 90.00° and 90.00°. The inequivalent atoms are La at (0.000, 0.500, 0.250), Tc at (0.000, 0.000, 0.000) and Os at (0.000, 0.000, 0.326).

As for the crystal system: tetragonal. The value obtained for the energy of formation is 57.2 kJ per mole of atoms. The value obtained for the energy above the lowest structure with this stoichiometry is 451 meV/atom. As for the total energy: -7.94 eV/atom.

---

The following is a PBE-GGA calculation of a relaxed structure of LaTc2OsW, from Alexandria via LeMat-Bulk.

The structure belongs to space group P4/mmm (No. 123); the cell edges are 4.656, 4.656 and 5.282 Å and the angles 90.00°, 90.00° and 90.00°. The inequivalent atoms are La at (0.000, 0.000, 0.000), Tc at (0.000, 0.500, 0.500), Os at (0.500, 0.500, 0.000) and W at (0.000, 0.000, 0.500).

As for the crystal system: tetragonal. The value obtained for the energy of formation is 185.6 kJ per mole of atoms. As for the total energy: -8.04 eV/atom.

---

The following is a PBE-GGA calculation of a relaxed structure of LaYTcOs2, from Alexandria via LeMat-Bulk.

The structure belongs to space group P4/mmm (No. 123); the cell edges are 4.781, 4.781 and 5.329 Å and the angles 90.00°, 90.00° and 90.00°. The inequivalent atoms are La at (0.000, 0.000, 0.000), Y at (0.000, 0.000, 0.500), Tc at (0.500, 0.500, 0.000) and Os at (0.000, 0.500, 0.500).

As for the crystal system: tetragonal. The value obtained for the energy of formation is 236.9 kJ per mole of atoms. As for the total energy: -6.39 eV/atom.